# 1
SrTl2PbCl6 | PBE | optimized geometry

a = 7.584 Å, b = 8.018 Å, c = 13.291 Å
α = 90.00°, β = 124.33°, γ = 90.00°
Fractional positions:
Sr  0.000  0.000  0.000
Sr  0.000  0.500  0.500
Tl  0.278  0.070  0.754
Tl  0.278  0.430  0.254
Tl  0.722  0.570  0.746
Tl  0.722  0.930  0.246
Pb  0.500  0.000  0.500
Pb  0.500  0.500  0.000
Cl  0.130  0.040  0.250
Cl  0.130  0.460  0.750
Cl  0.251  0.696  0.062
Cl  0.251  0.804  0.562
Cl  0.370  0.194  0.059
Cl  0.370  0.306  0.559
Cl  0.630  0.694  0.441
Cl  0.630  0.806  0.941
Cl  0.749  0.196  0.438
Cl  0.749  0.304  0.938
Cl  0.870  0.540  0.250
Cl  0.870  0.960  0.750

Properties
Spin magnetization, μB per cell: 0.000
Formation energy from raw total energies, eV/atom: -1.501
Calculated volume, Å³/atom: 33.4
Calculated density, g/cm3: 4.56

=====

# 2
SrZr2PbCl | PBE | optimized geometry

a = 5.563 Å, b = 5.563 Å, c = 6.534 Å
α = 90.00°, β = 90.00°, γ = 90.00°
Fractional positions:
Sr  0.000  0.000  0.000
Zr  0.000  0.500  0.500
Zr  0.500  0.000  0.500
Pb  0.000  0.000  0.500
Cl  0.500  0.500  0.000

Properties
Spin magnetization, μB per cell: 4.530
Formation energy from raw total energies, eV/atom: 0.577
Calculated volume, Å³/atom: 40.4
Calculated density, g/cm3: 4.21

=====

# 3
TaPb2Cl | PBE | optimized geometry

a = 5.567 Å, b = 5.567 Å, c = 3.117 Å
α = 95.34°, β = 95.34°, γ = 89.64°
Fractional positions:
Ta  0.000  0.000  0.000
Pb  0.000  0.500  0.500
Pb  0.500  0.000  0.500
Cl  0.500  0.500  0.000

Properties
Spin magnetization, μB per cell: 0.002
Formation energy from raw total energies, eV/atom: 0.239
Calculated volume, Å³/atom: 23.9
Calculated density, g/cm3: 10.94

=====

# 4
TaPbCl6 | PBE | optimized geometry

a = 6.736 Å, b = 6.736 Å, c = 7.350 Å
α = 106.00°, β = 106.00°, γ = 101.94°
Fractional positions:
Ta  0.000  0.000  0.000
Pb  0.000  0.000  0.500
Cl  0.034  0.713  0.738
Cl  0.254  0.254  0.933
Cl  0.287  0.966  0.262
Cl  0.713  0.034  0.738
Cl  0.746  0.746  0.067
Cl  0.966  0.287  0.262

Properties
Spin magnetization, μB per cell: 1.008
Formation energy from raw total energies, eV/atom: -1.165
Calculated volume, Å³/atom: 36.7
Calculated density, g/cm3: 3.40

=====

# 5
TaPb2Cl | PBE | optimized geometry

a = 8.815 Å, b = 8.815 Å, c = 8.815 Å
α = 138.78°, β = 138.78°, γ = 59.70°
Fractional positions:
Ta  0.000  0.000  0.000
Ta  0.750  0.250  0.500
Pb  0.079  0.625  0.954
Pb  0.375  0.329  0.454
Pb  0.671  0.125  0.046
Pb  0.875  0.921  0.546
Cl  0.250  0.750  0.500
Cl  0.500  0.500  0.000

Properties
Spin magnetization, μB per cell: 0.000
Formation energy from raw total energies, eV/atom: 0.848
Calculated volume, Å³/atom: 36.8
Calculated density, g/cm3: 7.12

=====

# 6
TaPb2Cl | PBE | optimized geometry

a = 5.524 Å, b = 5.524 Å, c = 3.111 Å
α = 90.00°, β = 90.00°, γ = 90.00°
Fractional positions:
Ta  0.000  0.000  0.000
Pb  0.000  0.500  0.500
Pb  0.500  0.000  0.500
Cl  0.500  0.500  0.000

Properties
Spin magnetization, μB per cell: 0.001
Formation energy from raw total energies, eV/atom: 0.241
Calculated volume, Å³/atom: 23.7
Calculated density, g/cm3: 11.04

=====

# 7
TaPbCl3 | PBE | optimized geometry

a = 5.616 Å, b = 5.616 Å, c = 5.616 Å
α = 90.00°, β = 90.00°, γ = 90.00°
Fractional positions:
Ta  0.000  0.000  0.000
Pb  0.500  0.500  0.500
Cl  0.000  0.500  0.500
Cl  0.500  0.000  0.500
Cl  0.500  0.500  0.000

Properties
Spin magnetization, μB per cell: 4.000
Formation energy from raw total energies, eV/atom: 0.544
Calculated volume, Å³/atom: 35.4
Calculated density, g/cm3: 4.64

=====

# 8
TaPbCl | PBE | optimized geometry

a = 8.132 Å, b = 8.132 Å, c = 8.132 Å
α = 158.27°, β = 158.27°, γ = 30.92°
Fractional positions:
Ta  0.000  0.000  0.000
Pb  0.652  0.652  0.000
Cl  0.398  0.398  0.000

Properties
Spin magnetization, μB per cell: 0.000
Formation energy from raw total energies, eV/atom: -0.006
Calculated volume, Å³/atom: 24.6
Calculated density, g/cm3: 9.55